(1)
DFT (PBEsol) results for a relaxed MgP2Pb crystal.

- E_tot (Ry/atom) = -0.304
- energy of formation (meV per atom) = 183
- M_tot (μB per cell) = 0.00
- N(E_F) (states/eV/f.u.) = 2.215
- symmetry = P4/mmm, No. 123

abc: 4.7728 4.7728 3.4922
angles: 90.00 90.00 90.00
Fractional positions:
Mg 0.0000 0.0000 0.0000
P 0.0000 0.5000 0.5000
P 0.5000 0.0000 0.5000
Pb 0.5000 0.5000 0.0000


(2)
DFT (PBEsol) results for a relaxed CsMgSc2Ru crystal.

- E_tot (Ry/atom) = -0.344
- energy of formation (meV per atom) = 530
- M_tot (μB per cell) = 0.00
- N(E_F) (states/eV/f.u.) = 3.394
- symmetry = P4/mmm, No. 123

abc: 5.0231 5.0231 5.8186
angles: 90.00 90.00 90.00
Fractional positions:
Cs 0.0000 0.0000 0.0000
Mg 0.5000 0.5000 0.0000
Sc 0.0000 0.5000 0.5000
Sc 0.5000 0.0000 0.5000
Ru 0.0000 0.0000 0.5000


(3)
DFT (PBEsol) results for a relaxed SrLiH3 crystal.

- E_tot (Ry/atom) = -0.204
- M_tot (μB per cell) = 0.00
- N(E_F) (states/eV/f.u.) = 0.000
- symmetry = Pm-3m, No. 221
- offset from the most stable computed form (meV/atom) = 516

abc: 4.5954 4.5954 4.5954
angles: 90.00 90.00 90.00
Fractional positions:
Sr 0.0000 0.0000 0.0000
Li 0.5000 0.5000 0.5000
H 0.0000 0.0000 0.5000
H 0.0000 0.5000 0.0000
H 0.5000 0.0000 0.0000


Among the records above, which one has the lowest E_tot?
CsMgSc2Ru